1.
## TiGaAgPt (GGA-PBE)

Data for a relaxed TiGaAgPt crystal.

a = 4.4912 Å, b = 4.4912 Å, c = 4.4912 Å
α = 60.00°, β = 60.00°, γ = 60.00°
With the nearest neighbours (Å) after each atom.
Positions (direct):
1 Ti 0.2500 0.2500 0.2500  4 Pt 2.75, 4 Ag 2.75
2 Ag 0.5000 0.5000 0.5000  4 Ti 2.75, 4 Ga 2.75
3 Ga 0.7500 0.7500 0.7500  4 Ag 2.75, 4 Pt 2.75
4 Pt 0.0000 0.0000 0.0000  4 Ga 2.75, 4 Ti 2.75

Results
For the total magnetization, the calculation gives 0.00 μB/cell. The energy relative to the elements comes out at -457 meV/atom. The value obtained for the raw total energy is -21.6 eV/f.u.

---

2.
## Hf2ReMo (GGA-PBE)

Data for a relaxed Hf2ReMo crystal.

a = 3.2880 Å, b = 3.2880 Å, c = 6.6272 Å
α = 90.00°, β = 90.00°, γ = 90.00°
With the nearest neighbours (Å) after each atom.
Positions (direct):
1 Mo 0.5000 0.5000 0.5000  8 Hf 2.88
2 Hf 0.0000 0.0000 0.2441  4 Re 2.83, 4 Mo 2.88
3 Re 0.5000 0.5000 0.0000  8 Hf 2.83
4 Hf 0.0000 0.0000 0.7559  4 Re 2.83, 4 Mo 2.88

Results
For the total magnetization, the calculation gives 0.00 μB/cell. The energy relative to the elements comes out at -159 meV/atom. The value obtained for the raw total energy is -43.8 eV/f.u.

---

3.
## NpCuPdS3 (GGA-PBE)

Data for a relaxed NpCuPdS3 crystal.

a = 3.7103 Å, b = 8.9338 Å, c = 7.5139 Å
α = 110.05°, β = 90.00°, γ = 90.00°
With the nearest neighbours (Å) after each atom.
Positions (direct):
1 S 0.2500 0.6301 0.9050  3 Cu 2.35-2.39
2 S 0.7500 0.3699 0.0950  3 Cu 2.35-2.39
3 Pd 0.2500 0.1186 0.5621  3 S 2.41-2.42
4 Cu 0.7500 0.4589 0.8287  4 S 2.26-2.39
5 S 0.7500 0.9667 0.1656  1 Pd 2.42, 3 Np 2.68-2.70
6 Cu 0.2500 0.5411 0.1713  4 S 2.26-2.39
7 Pd 0.7500 0.8814 0.4379  3 S 2.41-2.42
8 Np 0.7500 0.8042 0.7924  7 S 2.68-2.94, 1 Pd 2.97
9 S 0.7500 0.2803 0.5301  1 Cu 2.26, 2 Pd 2.41
10 Np 0.2500 0.1958 0.2076  7 S 2.68-2.94, 1 Pd 2.97
11 S 0.2500 0.0333 0.8344  1 Pd 2.42, 3 Np 2.68-2.70
12 S 0.2500 0.7197 0.4699  1 Cu 2.26, 2 Pd 2.41

Results
For the total magnetization, the calculation gives 5.29 μB/cell. The calculation puts the uncorrected formation energy at -15.61 kcal/mol of atoms. The value obtained for the raw total energy is -38.7 eV/f.u.

---

4.
## RbPbS (GGA-PBE)

Data for a relaxed RbPbS crystal.

a = 4.9773 Å, b = 4.9773 Å, c = 4.9158 Å
α = 90.00°, β = 90.00°, γ = 120.00°
With the nearest neighbours (Å) after each atom.
Positions (direct):
1 Pb 0.6667 0.3333 0.4998  3 S 2.87
2 S 0.3333 0.6667 0.5006  3 Pb 2.87
3 Rb 0.0000 0.0000 0.9997  6 S 3.78, 6 Pb 3.78

Results
For the total magnetization, the calculation gives 0.00 μB/cell. The calculation puts the uncorrected formation energy at -10.84 kcal/mol of atoms. The value obtained for the raw total energy is -10.2 eV/f.u.

---

5.
## Th3Tl3Hg2 (GGA-PBE)

Data for a relaxed Th3Tl3Hg2 crystal.

a = 4.6855 Å, b = 4.8238 Å, c = 9.9474 Å
α = 90.00°, β = 90.00°, γ = 90.00°
With the nearest neighbours (Å) after each atom.
Positions (direct):
1 Tl 0.0000 0.5000 0.0000  8 Th 3.36-3.51, 4 Hg 3.40
2 Tl 0.5000 0.0000 0.5000  4 Tl 3.36, 4 Th 3.38, 4 Hg 3.48
3 Th 0.5000 0.5000 0.7379  6 Tl 3.33-3.51, 4 Hg 3.37, 2 Th 3.55
4 Tl 0.0000 0.5000 0.5000  4 Th 3.33, 4 Tl 3.36, 4 Hg 3.53
5 Th 0.5000 0.5000 0.2621  6 Tl 3.33-3.51, 4 Hg 3.37, 2 Th 3.55
6 Hg 0.0000 0.0000 0.2407  6 Th 3.35-3.37, 6 Tl 3.40-3.53
7 Th 0.5000 0.0000 0.0000  4 Hg 3.35, 4 Tl 3.36, 4 Th 3.55
8 Hg 0.0000 0.0000 0.7593  6 Th 3.35-3.37, 6 Tl 3.40-3.53

Results
For the total magnetization, the calculation gives 0.00 μB/cell. The energy relative to the elements comes out at -156 meV/atom. The value obtained for the raw total energy is -31.2 eV/f.u.

---

6.
## Tm3S4 (GGA-PBE)

Data for a relaxed Tm3S4 crystal.

a = 3.8850 Å, b = 6.7661 Å, c = 7.3317 Å
α = 115.44°, β = 105.36°, γ = 90.00°
With the nearest neighbours (Å) after each atom.
Positions (direct):
1 S 0.6374 0.9994 0.2748  5 Tm 2.72-2.78
2 S 0.3626 0.0006 0.7252  5 Tm 2.72-2.78
3 Tm 0.7291 0.7212 0.4581  6 S 2.66-2.78
4 Tm 0.0000 0.0000 0.0000  6 S 2.70-2.75
5 S 0.8757 0.5601 0.7514  4 Tm 2.66-2.74
6 Tm 0.2709 0.2788 0.5419  6 S 2.66-2.78
7 S 0.1243 0.4399 0.2486  4 Tm 2.66-2.74

Results
For the total magnetization, the calculation gives 0.00 μB/cell. The calculation puts the uncorrected formation energy at -46.30 kcal/mol of atoms. The value obtained for the raw total energy is -44.0 eV/f.u.